1.
VASP calculation (PBE) on an optimized crystal structure of MnFeTc.

As for the formation energy: 0.167 eV/atom. The value obtained for the total moment is 4.22 μB/f.u. The value obtained for the polymorph energy (0 for the lowest one) is 0.160 eV/atom.

It has space group Fmm2 (No. 42), with a = 2.9843 Å, b = 4.1992 Å, c = 12.2846 Å, α = 90.00°, β = 90.00° and γ = 90.00°. The inequivalent atoms are Mn at (0.0000, 0.0000, 0.0000), Fe at (0.0000, 0.0000, 0.3392) and Tc at (0.0000, 0.0000, 0.6666).

***

2.
VASP calculation (PBE) on an optimized crystal structure of MnFe2Tc.

As for the formation energy: 0.098 eV/atom. The value obtained for the total moment is 1.11 μB/f.u. The value obtained for the polymorph energy (0 for the lowest one) is 0.037 eV/atom.

It has space group P4mm (No. 99), with a = 2.5651 Å, b = 2.5651 Å, c = 7.3333 Å, α = 90.00°, β = 90.00° and γ = 90.00°. The inequivalent atoms are Mn at (0.0000, 0.0000, 0.0000), Fe at (0.0000, 0.0000, 0.5296), Fe at (0.5000, 0.5000, 0.7674) and Tc at (0.5000, 0.5000, 0.2763).

***

3.
VASP calculation (PBE) on an optimized crystal structure of MnFe2Tc.

As for the formation energy: 0.106 eV/atom. The value obtained for the total moment is 6.00 μB/f.u. The value obtained for the polymorph energy (0 for the lowest one) is 0.045 eV/atom.

It has space group Fm-3m (No. 225), with a = 5.8092 Å, b = 5.8092 Å, c = 5.8092 Å, α = 90.00°, β = 90.00° and γ = 90.00°. The inequivalent atoms are Mn at (0.0000, 0.0000, 0.0000), Fe at (0.2500, 0.2500, 0.2500) and Tc at (0.0000, 0.0000, 0.5000).

***

4.
VASP calculation (PBE) on an optimized crystal structure of MnFeTc.

As for the formation energy: 0.065 eV/atom. The value obtained for the total moment is 4.15 μB/f.u. The value obtained for the polymorph energy (0 for the lowest one) is 0.057 eV/atom.

It has space group I4mm (No. 107), with a = 2.9408 Å, b = 2.9408 Å, c = 8.7690 Å, α = 90.00°, β = 90.00° and γ = 90.00°. The inequivalent atoms are Mn at (0.0000, 0.0000, 0.0000), Fe at (0.0000, 0.0000, 0.3413) and Tc at (0.0000, 0.0000, 0.6702).

***

5.
VASP calculation (PBE) on an optimized crystal structure of MnFeTc.

As for the formation energy: 0.185 eV/atom. The value obtained for the total moment is 1.82 μB/f.u. The value obtained for the polymorph energy (0 for the lowest one) is 0.177 eV/atom.

It has space group P3m1 (No. 156), with a = 2.6131 Å, b = 2.6131 Å, c = 6.2654 Å, α = 90.00°, β = 90.00° and γ = 120.00°. The inequivalent atoms are Mn at (0.0000, 0.0000, 0.0000), Fe at (0.6667, 0.3333, 0.6858) and Tc at (0.3333, 0.6667, 0.3354).

***

6.
VASP calculation (PBE) on an optimized crystal structure of MnFeTc4.

As for the formation energy: 0.454 eV/atom. The value obtained for the total moment is 4.84 μB/f.u.

It has space group F-43m (No. 216), with a = 7.1585 Å, b = 7.1585 Å, c = 7.1585 Å, α = 90.00°, β = 90.00° and γ = 90.00°. The inequivalent atoms are Mn at (0.0000, 0.0000, 0.0000), Fe at (0.2500, 0.2500, 0.2500) and Tc at (0.1251, 0.1251, 0.6251).